{
  "formula": "TePbN2",
  "functional": "PBE",
  "state": "relaxed",
  "crystal_system": "trigonal",
  "total_energy_ev_per_atom": -4.96,
  "lattice_angstrom": [[1.939, 0.000, 7.374], [-0.969, 1.679, 7.374], [-0.969, -1.679, 7.374]],
  "species": ["Pb", "N", "N", "Te"],
  "fractional_positions": [[0.000, 0.000, 0.000], [0.884, 0.884, 0.884], [0.116, 0.116, 0.116], [0.500, 0.500, 0.500]]
}

***

{
  "formula": "ThTePbN",
  "functional": "PBE",
  "state": "relaxed",
  "crystal_system": "tetragonal",
  "total_energy_ev_per_atom": -6.71,
  "lattice_angstrom": [[4.273, 0.000, 0.000], [0.000, 4.273, 0.000], [0.000, 0.000, 11.587]],
  "species": ["Th", "Th", "Te", "Pb", "N", "N", "Te", "Pb"],
  "fractional_positions": [[0.750, 0.750, 0.907], [0.250, 0.250, 0.093], [0.750, 0.750, 0.262], [0.250, 0.750, 0.500], [0.750, 0.250, 0.000], [0.250, 0.750, 0.000], [0.250, 0.250, 0.738], [0.750, 0.250, 0.500]]
}

***

{
  "formula": "VTePbN2",
  "functional": "PBE",
  "state": "relaxed",
  "crystal_system": "tetragonal",
  "total_energy_ev_per_atom": -5.92,
  "lattice_angstrom": [[-0.361, 3.951, -1.212], [-2.500, -1.178, -3.094], [-4.820, 0.676, 3.637]],
  "species": ["V", "N", "Pb", "N", "Te"],
  "fractional_positions": [[0.000, 0.000, 0.000], [0.000, 0.500, 0.000], [0.500, 0.500, 0.500], [0.500, 0.000, 0.000], [0.000, 0.000, 0.500]]
}

***

{
  "formula": "VTe2PbN",
  "functional": "PBE",
  "state": "relaxed",
  "crystal_system": "tetragonal",
  "total_energy_ev_per_atom": -5.53,
  "lattice_angstrom": [[-5.138, 2.155, -0.673], [-0.059, -1.801, -5.315], [-1.487, -3.200, 1.101]],
  "species": ["N", "V", "Te", "Te", "Pb"],
  "fractional_positions": [[0.000, 0.000, 0.500], [0.000, 0.000, 0.000], [0.500, 0.000, 0.000], [0.000, 0.500, 0.000], [0.500, 0.500, 0.500]]
}

***

{
  "formula": "VTe2PbN",
  "functional": "PBE",
  "state": "relaxed",
  "crystal_system": "tetragonal",
  "total_energy_ev_per_atom": -4.16,
  "lattice_angstrom": [[5.884, 0.000, 0.000], [0.000, 5.884, 0.000], [0.000, 0.000, 4.196]],
  "species": ["Pb", "Te", "Te", "V", "N"],
  "fractional_positions": [[0.000, 0.000, 0.000], [0.500, 0.000, 0.000], [0.000, 0.500, 0.000], [0.500, 0.500, 0.500], [0.000, 0.000, 0.500]]
}

***

{
  "formula": "Te2PbWN",
  "functional": "PBE",
  "state": "relaxed",
  "crystal_system": "tetragonal",
  "total_energy_ev_per_atom": -6.11,
  "lattice_angstrom": [[-2.028, 1.303, 5.041], [3.388, -3.778, 2.340], [2.732, 2.699, 0.402]],
  "species": ["Te", "N", "Pb", "W", "Te"],
  "fractional_positions": [[0.000, 0.500, 0.000], [0.000, 0.000, 0.500], [0.500, 0.500, 0.500], [0.000, 0.000, 0.000], [0.500, 0.000, 0.000]]
}

***

{
  "formula": "Te2PbWN",
  "functional": "PBE",
  "state": "relaxed",
  "crystal_system": "tetragonal",
  "total_energy_ev_per_atom": -4.30,
  "lattice_angstrom": [[-3.116, 4.505, -1.984], [-0.787, -2.774, -5.062], [-3.445, -1.729, 1.483]],
  "species": ["W", "N", "Pb", "Te", "Te"],
  "fractional_positions": [[0.500, 0.500, 0.500], [0.000, 0.000, 0.500], [0.000, 0.000, 0.000], [0.500, 0.000, 0.000], [0.000, 0.500, 0.000]]
}

***

{
  "formula": "TePbWN2",
  "functional": "PBE",
  "state": "relaxed",
  "crystal_system": "tetragonal",
  "total_energy_ev_per_atom": -4.88,
  "lattice_angstrom": [[4.221, 0.000, 0.000], [0.000, 4.221, 0.000], [0.000, 0.000, 6.558]],
  "species": ["Te", "W", "N", "N", "Pb"],
  "fractional_positions": [[0.000, 0.000, 0.500], [0.500, 0.500, 0.500], [0.500, 0.000, 0.000], [0.000, 0.500, 0.000], [0.000, 0.000, 0.000]]
}

***

{
  "formula": "TePbWN2",
  "functional": "PBE",
  "state": "relaxed",
  "crystal_system": "tetragonal",
  "total_energy_ev_per_atom": -6.77,
  "lattice_angstrom": [[4.172, 0.000, 0.000], [0.000, 4.172, 0.000], [0.000, 0.000, 5.739]],
  "species": ["Pb", "N", "Te", "W", "N"],
  "fractional_positions": [[0.500, 0.500, 0.500], [0.500, 0.000, 0.000], [0.000, 0.000, 0.500], [0.000, 0.000, 0.000], [0.000, 0.500, 0.000]]
}

***

{
  "formula": "YTe2PbN",
  "functional": "PBE",
  "state": "relaxed",
  "crystal_system": "tetragonal",
  "total_energy_ev_per_atom": -4.99,
  "lattice_angstrom": [[5.991, 0.000, 0.000], [0.000, 5.991, 0.000], [0.000, 0.000, 4.391]],
  "species": ["Te", "Y", "Te", "N", "Pb"],
  "fractional_positions": [[0.000, 0.500, 0.000], [0.000, 0.000, 0.000], [0.500, 0.000, 0.000], [0.000, 0.000, 0.500], [0.500, 0.500, 0.500]]
}

***

{
  "formula": "YTePbN2",
  "functional": "PBE",
  "state": "relaxed",
  "crystal_system": "tetragonal",
  "total_energy_ev_per_atom": -5.48,
  "lattice_angstrom": [[-4.159, 0.186, -2.065], [-1.644, -3.116, 3.031], [-1.697, 4.624, 3.834]],
  "species": ["Y", "Te", "N", "Pb", "N"],
  "fractional_positions": [[0.000, 0.000, 0.000], [0.000, 0.000, 0.500], [0.000, 0.500, 0.000], [0.500, 0.500, 0.500], [0.500, 0.000, 0.000]]
}

***

{
  "formula": "YTe2PbN",
  "functional": "PBE",
  "state": "relaxed",
  "crystal_system": "tetragonal",
  "total_energy_ev_per_atom": -4.50,
  "lattice_angstrom": [[-0.538, 3.065, -4.986], [3.959, -3.497, -2.577], [-3.090, -2.576, -1.251]],
  "species": ["Pb", "Te", "N", "Y", "Te"],
  "fractional_positions": [[0.000, 0.000, 0.000], [0.000, 0.500, 0.000], [0.000, 0.000, 0.500], [0.500, 0.500, 0.500], [0.500, 0.000, 0.000]]
}

***

{
  "formula": "ZnTe2PbN",
  "functional": "PBE",
  "state": "relaxed",
  "crystal_system": "tetragonal",
  "total_energy_ev_per_atom": -3.38,
  "lattice_angstrom": [[5.939, 0.000, 0.000], [0.000, 5.939, 0.000], [0.000, 0.000, 3.667]],
  "species": ["Te", "Te", "Zn", "Pb", "N"],
  "fractional_positions": [[0.500, 0.000, 0.000], [0.000, 0.500, 0.000], [0.000, 0.000, 0.000], [0.500, 0.500, 0.500], [0.000, 0.000, 0.500]]
}

***

{
  "formula": "ZnTePbN2",
  "functional": "PBE",
  "state": "relaxed",
  "crystal_system": "tetragonal",
  "total_energy_ev_per_atom": -3.40,
  "lattice_angstrom": [[-0.786, -0.285, 4.317], [4.326, -0.114, 0.780], [0.089, 6.369, 0.436]],
  "species": ["N", "Pb", "Te", "N", "Zn"],
  "fractional_positions": [[0.500, 0.000, 0.000], [0.000, 0.000, 0.000], [0.000, 0.000, 0.500], [0.000, 0.500, 0.000], [0.500, 0.500, 0.500]]
}

***

{
  "formula": "ZnTePbN2",
  "functional": "PBE",
  "state": "relaxed",
  "crystal_system": "tetragonal",
  "total_energy_ev_per_atom": -3.61,
  "lattice_angstrom": [[4.313, 0.000, 0.000], [0.000, 4.313, 0.000], [0.000, 0.000, 5.561]],
  "species": ["Te", "N", "Pb", "Zn", "N"],
  "fractional_positions": [[0.000, 0.000, 0.500], [0.000, 0.500, 0.000], [0.500, 0.500, 0.500], [0.000, 0.000, 0.000], [0.500, 0.000, 0.000]]
}

***

{
  "formula": "ZnTe2PbN",
  "functional": "PBE",
  "state": "relaxed",
  "crystal_system": "tetragonal",
  "total_energy_ev_per_atom": -2.80,
  "lattice_angstrom": [[-0.350, 2.632, -5.334], [-5.891, -0.895, -0.055], [-0.604, 3.855, 1.941]],
  "species": ["Te", "N", "Pb", "Te", "Zn"],
  "fractional_positions": [[0.000, 0.500, 0.000], [0.000, 0.000, 0.500], [0.000, 0.000, 0.000], [0.500, 0.000, 0.000], [0.500, 0.500, 0.500]]
}

***

{
  "formula": "ZrTe2PbN",
  "functional": "PBE",
  "state": "relaxed",
  "crystal_system": "tetragonal",
  "total_energy_ev_per_atom": -5.56,
  "lattice_angstrom": [[-2.357, -2.529, 4.735], [5.219, -2.290, 1.375], [0.871, 3.305, 2.198]],
  "species": ["Zr", "Te", "N", "Te", "Pb"],
  "fractional_positions": [[0.000, 0.000, 0.000], [0.500, 0.000, 0.000], [0.000, 0.000, 0.500], [0.000, 0.500, 0.000], [0.500, 0.500, 0.500]]
}

***

{
  "formula": "ZrTe2PbN",
  "functional": "PBE",
  "state": "relaxed",
  "crystal_system": "tetragonal",
  "total_energy_ev_per_atom": -4.36,
  "lattice_angstrom": [[-0.593, -4.662, -3.468], [4.584, 1.767, -3.159], [2.516, -2.144, 2.452]],
  "species": ["Pb", "Te", "N", "Te", "Zr"],
  "fractional_positions": [[0.000, 0.000, 0.000], [0.500, 0.000, 0.000], [0.000, 0.000, 0.500], [0.000, 0.500, 0.000], [0.500, 0.500, 0.500]]
}

***

{
  "formula": "Th3PbN3",
  "functional": "PBE",
  "state": "relaxed",
  "crystal_system": "monoclinic",
  "total_energy_ev_per_atom": -8.67,
  "lattice_angstrom": [[-0.174, 0.384, 4.009], [-6.937, -2.062, 1.923], [2.467, -10.213, 3.111]],
  "species": ["N", "Th", "Th", "N", "N", "Pb", "Th", "Th", "N", "Th", "N", "Pb", "N", "Th"],
  "fractional_positions": [[0.671, 0.675, 0.984], [0.350, 0.101, 0.200], [0.127, 0.646, 0.099], [0.693, 0.019, 0.595], [0.063, 0.071, 0.802], [0.610, 0.443, 0.338], [0.874, 0.819, 0.434], [0.126, 0.181, 0.566], [0.937, 0.929, 0.198], [0.873, 0.354, 0.901], [0.307, 0.981, 0.405], [0.390, 0.557, 0.662], [0.329, 0.325, 0.016], [0.650, 0.899, 0.800]]
}

***

{
  "formula": "Th2PbN2",
  "functional": "PBE",
  "state": "relaxed",
  "crystal_system": "tetragonal",
  "total_energy_ev_per_atom": -8.40,
  "lattice_angstrom": [[3.924, 0.000, -1.075], [-0.294, 3.913, -1.075], [0.020, 0.021, 7.775]],
  "species": ["Th", "Th", "N", "N", "Pb"],
  "fractional_positions": [[0.330, 0.330, 0.659], [0.670, 0.670, 0.341], [0.250, 0.750, 0.500], [0.750, 0.250, 0.500], [0.000, 0.000, 0.000]]
}

***

{
  "formula": "ThPbN",
  "functional": "PBE",
  "state": "relaxed",
  "crystal_system": "tetragonal",
  "total_energy_ev_per_atom": -7.65,
  "lattice_angstrom": [[-2.783, -0.848, -2.996], [0.819, -4.076, 0.393], [-5.990, -0.650, 5.747]],
  "species": ["N", "Th", "Pb", "N", "Th", "Pb"],
  "fractional_positions": [[0.500, 0.500, 0.000], [0.000, 0.500, 0.868], [0.000, 0.500, 0.418], [0.000, 0.000, 0.000], [0.500, 0.000, 0.132], [0.500, 0.000, 0.582]]
}

***

{
  "formula": "ThPbN",
  "functional": "PBE",
  "state": "relaxed",
  "crystal_system": "tetragonal",
  "total_energy_ev_per_atom": -7.15,
  "lattice_angstrom": [[3.371, 0.000, 0.000], [0.000, 3.371, 0.000], [-1.686, -1.686, 6.723]],
  "species": ["Pb", "Th", "N"],
  "fractional_positions": [[0.005, 0.005, 0.010], [0.732, 0.732, 0.465], [0.263, 0.263, 0.526]]
}

***

{
  "formula": "Tm2Th4Pb3N2",
  "functional": "PBE",
  "state": "relaxed",
  "crystal_system": "tetragonal",
  "total_energy_ev_per_atom": -6.75,
  "lattice_angstrom": [[-1.206, -3.622, -2.937], [2.029, -3.139, 3.038], [-11.755, 2.092, 6.197]],
  "species": ["Tm", "Th", "Pb", "Tm", "N", "Pb", "Th", "Th", "Th", "N", "Pb"],
  "fractional_positions": [[0.695, 0.695, 0.390], [0.414, 0.914, 0.827], [0.817, 0.817, 0.633], [0.305, 0.305, 0.610], [0.608, 0.608, 0.216], [0.000, 0.000, 0.000], [0.914, 0.414, 0.827], [0.586, 0.086, 0.173], [0.086, 0.586, 0.173], [0.392, 0.392, 0.784], [0.183, 0.183, 0.367]]
}

***

{
  "formula": "Y2Th4Pb3N2",
  "functional": "PBE",
  "state": "relaxed",
  "crystal_system": "tetragonal",
  "total_energy_ev_per_atom": -7.15,
  "lattice_angstrom": [[-3.984, 2.508, -1.043], [-2.656, -3.207, 2.432], [4.875, 7.378, 10.272]],
  "species": ["N", "Pb", "Th", "Pb", "Th", "Y", "Y", "N", "Th", "Pb", "Th"],
  "fractional_positions": [[0.394, 0.394, 0.788], [0.818, 0.818, 0.636], [0.086, 0.586, 0.171], [0.000, 0.000, 0.000], [0.914, 0.414, 0.829], [0.304, 0.304, 0.609], [0.696, 0.696, 0.391], [0.606, 0.606, 0.212], [0.586, 0.086, 0.171], [0.182, 0.182, 0.364], [0.414, 0.914, 0.829]]
}

***

{
  "formula": "Ti6Pb2N",
  "functional": "PBE",
  "state": "relaxed",
  "crystal_system": "hexagonal",
  "total_energy_ev_per_atom": -7.27,
  "lattice_angstrom": [[-0.361, 3.222, -0.571], [-6.438, -1.291, -3.212], [0.302, 1.308, 7.185]],
  "species": ["Ti", "Pb", "Ti", "Pb", "Ti", "N", "Ti", "Ti", "Ti"],
  "fractional_positions": [[0.000, 0.781, 0.781], [0.000, 0.667, 0.333], [0.000, 0.219, 0.000], [0.000, 0.333, 0.667], [0.500, 0.658, 0.000], [0.500, 0.000, 0.000], [0.500, 0.342, 0.342], [0.000, 0.000, 0.219], [0.500, 0.000, 0.658]]
}

***

{
  "formula": "Ti8Pb2N",
  "functional": "PBE",
  "state": "relaxed",
  "crystal_system": "monoclinic",
  "total_energy_ev_per_atom": -7.36,
  "lattice_angstrom": [[-1.130, -4.407, -0.717], [1.148, -1.172, 5.396], [-7.006, 4.387, -1.128]],
  "species": ["Pb", "Ti", "Ti", "Ti", "Ti", "Ti", "Ti", "N", "Pb", "Ti", "Ti"],
  "fractional_positions": [[0.175, 0.744, 0.350], [0.997, 0.228, 0.993], [0.786, 0.691, 0.573], [0.214, 0.309, 0.427], [0.380, 0.012, 0.760], [0.427, 0.582, 0.854], [0.620, 0.988, 0.240], [0.500, 0.000, 0.000], [0.825, 0.256, 0.650], [0.573, 0.418, 0.146], [0.003, 0.772, 0.007]]
}

***

Values for formation energy from raw total energies, meV/atom, ordered as above
916; -1061; 606; -48; 1326; 146; 1952; 2416; 520; -32; 511; 455; 543; 1557; 1344; 1121; -190; 1017; -1396; -1357; -1166; -667; -718; -749; -261; -189